(1)
# SrHg PBE optimized geometry
data_SrHg
_chemical_formula_sum 'Sr1 Hg1'
_space_group_name_H-M_alt 'P -6 m 2'
_space_group_IT_number 187
_space_group_name_Hall 'P -6 2'
_cell_length_a 4.3743
_cell_length_b 4.3743
_cell_length_c 4.4193
_cell_angle_alpha 90.00
_cell_angle_beta 90.00
_cell_angle_gamma 120.00
loop_
_atom_site_label
_atom_site_fract_x
_atom_site_fract_y
_atom_site_fract_z
_atom_site_occupancy
Sr1 0.0000 0.0000 0.0000 1
Hg1 0.3333 0.6667 0.5000 1
# DFT formation energy ... -0.425 eV per atom
# Size of the total moment ... 0.00 μB per atom



(2)
# Sr4Hg3 PBE optimized geometry
data_Sr4Hg3
_chemical_formula_sum 'Sr12 Hg9'
_space_group_name_H-M_alt 'R -3 m'
_space_group_IT_number 166
_space_group_name_Hall '-R 3 2"'
_cell_length_a 5.5188
_cell_length_b 5.5188
_cell_length_c 30.9198
_cell_angle_alpha 90.00
_cell_angle_beta 90.00
_cell_angle_gamma 120.00
loop_
_atom_site_label
_atom_site_fract_x
_atom_site_fract_y
_atom_site_fract_z
_atom_site_occupancy
Sr1 0.0000 0.0000 0.1223 1
Sr2 0.0000 0.0000 0.2950 1
Hg1 0.0000 0.0000 0.4048 1
Hg2 0.0000 0.0000 0.5000 1
# Distance to the lowest polymorph of the same formula ... 85 meV/atom
# DFT formation energy ... -0.358 eV per atom
# Size of the total moment ... 0.00 μB per atom



(3)
# Sr2Hg5 PBE optimized geometry
data_Sr2Hg5
_chemical_formula_sum 'Sr4 Hg10'
_space_group_name_H-M_alt 'C 1 2/m 1'
_space_group_IT_number 12
_space_group_name_Hall '-C 2y'
_cell_length_a 9.515
_cell_length_b 4.856
_cell_length_c 9.237
_cell_angle_alpha 90.00
_cell_angle_beta 106.34
_cell_angle_gamma 90.00
loop_
_atom_site_label
_atom_site_fract_x
_atom_site_fract_y
_atom_site_fract_z
_atom_site_occupancy
Sr1 0.054 0.000 0.224 1
Hg1 0.000 0.500 0.500 1
Hg2 0.165 0.500 0.012 1
Hg3 0.212 0.000 0.613 1
# DFT formation energy ... -0.424 eV per atom
# Size of the total moment ... 0.00 μB per atom